1.
Compound: Li2VNiP2O8
Source: the Alexandria database
Functional: PBEsol
Structure: relaxed

```
Li2VNiP2O8
1.0
4.6694 0.0000 0.0000
0.0000 5.9542 0.0000
-0.1452 0.0000 10.0206
Li V Ni P O
4 2 2 4 16
Direct
0.0000 0.0000 0.0000 Li
0.0000 0.5000 0.0000 Li
0.5000 0.0000 0.5000 Li
0.5000 0.5000 0.5000 Li
0.0149 0.2500 0.2770 V
0.9851 0.7500 0.7230 V
0.4622 0.2500 0.7774 Ni
0.5378 0.7500 0.2226 Ni
0.0765 0.7500 0.4059 P
0.4197 0.7500 0.9064 P
0.5803 0.2500 0.0936 P
0.9235 0.2500 0.5941 P
0.2078 0.7500 0.5500 O
0.2086 0.5398 0.3366 O
0.2086 0.9602 0.3366 O
0.2520 0.2500 0.0995 O
0.2520 0.2500 0.5949 O
0.2730 0.5467 0.8323 O
0.2730 0.9533 0.8323 O
0.3069 0.7500 0.0502 O
0.6931 0.2500 0.9498 O
0.7270 0.0467 0.1677 O
0.7270 0.4533 0.1677 O
0.7480 0.7500 0.4051 O
0.7480 0.7500 0.9005 O
0.7914 0.0398 0.6634 O
0.7914 0.4602 0.6634 O
0.7922 0.2500 0.4500 O
```

The calculation puts the calculated total energy at -203.2 eV per cell. As for the symmetry: P2_1/m. The crystal system is monoclinic. Its density of states at the Fermi level is 8.0 states/eV/f.u.

2.
Compound: In2HgIO
Source: the Alexandria database
Functional: PBEsol
Structure: relaxed

```
In2HgIO
1.0
6.0964 0.0000 0.0000
0.0000 6.0964 0.0000
0.0000 0.0000 4.0416
In Hg I O
2 1 1 1
Direct
0.0000 0.5000 0.0000 In
0.5000 0.0000 0.0000 In
0.0000 0.0000 0.5000 Hg
0.5000 0.5000 0.0000 I
0.5000 0.5000 0.5000 O
```

The calculation puts the calculated total energy at -12.5 eV per cell. As for the symmetry: P4/mmm. The crystal system is tetragonal. Its density of states at the Fermi level is 1.9 states/eV/f.u.

3.
Compound: LaHf3As
Source: the Alexandria database
Functional: PBEsol
Structure: relaxed

```
LaHf3As
1.0
5.0579 0.0000 0.0000
0.0000 5.0579 0.0000
0.0000 0.0000 5.0579
La Hf As
1 3 1
Direct
0.0000 0.0000 0.0000 La
0.0000 0.0000 0.5000 Hf
0.0000 0.5000 0.0000 Hf
0.5000 0.0000 0.0000 Hf
0.5000 0.5000 0.5000 As
```

For the energy relative to the elements, the calculation gives 1.600 eV/atom. As for the symmetry: Pm-3m. The crystal system is cubic. Its density of states at the Fermi level is 7.8 states/eV/f.u.

4.
Compound: ScCd2Ru
Source: the Alexandria database
Functional: PBEsol
Structure: relaxed

```
ScCd2Ru
1.0
3.2997 0.0000 0.0000
0.0000 3.2997 0.0000
0.0000 0.0000 6.7005
Sc Cd Ru
1 2 1
Direct
0.0000 0.0000 0.0000 Sc
0.0000 0.0000 0.5611 Cd
0.5000 0.5000 0.2955 Cd
0.5000 0.5000 0.8119 Ru
```

For the energy relative to the elements, the calculation gives -0.161 eV/atom. As for the symmetry: P4mm. The crystal system is tetragonal. Its density of states at the Fermi level is 1.7 states/eV/f.u.

5.
Compound: KZrIn
Source: the Alexandria database
Functional: PBEsol
Structure: relaxed

```
KZrIn
1.0
-1.5164 2.3316 6.5863
1.5164 -2.3316 6.5863
1.5164 2.3316 -6.5863
K Zr In
1 1 1
Direct
0.0000 0.0000 0.0000 K
0.7226 0.7226 0.0000 Zr
0.3025 0.3025 0.0000 In
```

For the energy relative to the elements, the calculation gives 0.317 eV/atom. As for the symmetry: Imm2. The crystal system is orthorhombic. Its density of states at the Fermi level is 2.3 states/eV/f.u.

6.
Compound: ZrRh
Source: the Alexandria database
Functional: PBEsol
Structure: relaxed

```
ZrRh
1.0
9.8184 0.0000 0.0000
0.0000 7.6946 0.0000
0.0000 0.0000 5.5159
Zr Rh
12 12
Direct
0.1212 0.0371 0.2500 Zr
0.1212 0.4629 0.7500 Zr
0.3157 0.6421 0.2500 Zr
0.3157 0.8579 0.7500 Zr
0.3721 0.2500 0.0000 Zr
0.3721 0.2500 0.5000 Zr
0.6279 0.7500 0.0000 Zr
0.6279 0.7500 0.5000 Zr
0.6843 0.1421 0.2500 Zr
0.6843 0.3579 0.7500 Zr
0.8788 0.5371 0.2500 Zr
0.8788 0.9629 0.7500 Zr
0.0845 0.7500 0.0000 Rh
0.0845 0.7500 0.5000 Rh
0.1404 0.1057 0.7500 Rh
0.1404 0.3943 0.2500 Rh
0.4418 0.5476 0.7500 Rh
0.4418 0.9524 0.2500 Rh
0.5582 0.0476 0.7500 Rh
0.5582 0.4524 0.2500 Rh
0.8596 0.6057 0.7500 Rh
0.8596 0.8943 0.2500 Rh
0.9155 0.2500 0.0000 Rh
0.9155 0.2500 0.5000 Rh
```

For the energy relative to the elements, the calculation gives -0.711 eV/atom. As for the symmetry: Pbcm. The crystal system is orthorhombic. Its density of states at the Fermi level is 1.5 states/eV/f.u.

7.
Compound: Ru4Pt
Source: the Alexandria database
Functional: PBEsol
Structure: relaxed

```
Ru4Pt
1.0
-3.0003 3.0003 1.8915
3.0003 -3.0003 1.8915
3.0003 3.0003 -1.8915
Ru Pt
4 1
Direct
0.0936 0.3039 0.3975 Ru
0.3039 0.9064 0.2102 Ru
0.6961 0.0936 0.7898 Ru
0.9064 0.6961 0.6025 Ru
0.5000 0.5000 0.0000 Pt
```

For the energy relative to the elements, the calculation gives 0.052 eV/atom. As for the symmetry: I4/m. The crystal system is tetragonal. Its density of states at the Fermi level is 5.1 states/eV/f.u.

8.
Compound: CuCl2
Source: the Alexandria database
Functional: PBEsol
Structure: relaxed

```
CuCl2
1.0
1.7339 -9.6086 0.0000
1.7339 9.6086 0.0000
0.0000 0.0000 3.4975
Cu Cl
2 4
Direct
0.0489 0.9511 0.7500 Cu
0.9511 0.0489 0.2500 Cu
0.2500 0.7500 0.2500 Cl
0.4246 0.5754 0.7500 Cl
0.5754 0.4246 0.2500 Cl
0.7500 0.2500 0.7500 Cl
```

The calculation puts the calculated total energy at -16.6 eV per cell. As for the symmetry: Cmcm. The crystal system is orthorhombic. Its density of states at the Fermi level is 1.0 states/eV/f.u.

9.
Compound: Mg3Au
Source: the Alexandria database
Functional: PBEsol
Structure: relaxed

```
Mg3Au
1.0
8.0292 0.0000 0.0000
-4.0146 6.9535 0.0000
0.0000 0.0000 8.4916
Mg Au
18 6
Direct
0.0000 0.0000 0.2416 Mg
0.0000 0.0000 0.7416 Mg
0.0000 0.2803 0.0000 Mg
0.0000 0.3754 0.3433 Mg
0.0000 0.6246 0.8433 Mg
0.0000 0.7197 0.5000 Mg
0.2803 0.0000 0.0000 Mg
0.2803 0.2803 0.5000 Mg
0.3333 0.6667 0.1248 Mg
0.3333 0.6667 0.6248 Mg
0.3754 0.0000 0.3433 Mg
0.3754 0.3754 0.8433 Mg
0.6246 0.0000 0.8433 Mg
0.6246 0.6246 0.3433 Mg
0.6667 0.3333 0.1248 Mg
0.6667 0.3333 0.6248 Mg
0.7197 0.0000 0.5000 Mg
0.7197 0.7197 0.0000 Mg
0.0000 0.3280 0.6719 Au
0.0000 0.6720 0.1719 Au
0.3280 0.0000 0.6719 Au
0.3280 0.3280 0.1719 Au
0.6720 0.0000 0.1719 Au
0.6720 0.6720 0.6719 Au
```

For the energy relative to the elements, the calculation gives -0.418 eV/atom. The energy above the most stable polymorph in this dataset is 0 meV/atom. As for the symmetry: P6_3cm. The crystal system is hexagonal. Its density of states at the Fermi level is 1.1 states/eV/f.u.

10.
Compound: FeSi2Ru
Source: the Alexandria database
Functional: PBEsol
Structure: relaxed

```
FeSi2Ru
1.0
3.7714 -1.3649 0.0000
3.7714 1.3649 0.0000
-0.9613 0.0000 4.5997
Fe Si Ru
1 2 1
Direct
0.0000 0.0000 0.0000 Fe
0.2545 0.2545 0.7725 Si
0.7455 0.7455 0.2275 Si
0.5000 0.5000 0.5000 Ru
```

The calculation puts the calculated total energy at -32.3 eV per cell. As for the symmetry: C2/m. The crystal system is monoclinic. Its density of states at the Fermi level is 2.7 states/eV/f.u.

11.
Compound: Zr2CdFe
Source: the Alexandria database
Functional: PBEsol
Structure: relaxed

```
Zr2CdFe
1.0
3.1388 0.0000 0.0000
0.0000 3.1388 0.0000
0.0000 0.0000 7.3709
Zr Cd Fe
2 1 1
Direct
0.0000 0.0000 0.2090 Zr
0.0000 0.0000 0.7910 Zr
0.5000 0.5000 0.5000 Cd
0.5000 0.5000 0.0000 Fe
```

For the energy relative to the elements, the calculation gives -0.147 eV/atom. As for the symmetry: P4/mmm. The crystal system is tetragonal. Its density of states at the Fermi level is 3.8 states/eV/f.u.

12.
Compound: Tl2AgMo
Source: the Alexandria database
Functional: PBEsol
Structure: relaxed

```
Tl2AgMo
1.0
4.6455 0.0000 0.0000
0.0000 4.6455 0.0000
0.0000 0.0000 3.5334
Tl Ag Mo
2 1 1
Direct
0.0000 0.5000 0.0000 Tl
0.5000 0.0000 0.0000 Tl
0.0000 0.0000 0.5000 Ag
0.5000 0.5000 0.5000 Mo
```

For the energy relative to the elements, the calculation gives 0.556 eV/atom. The energy above the most stable polymorph in this dataset is 16 meV/atom. As for the symmetry: P4/mmm. The crystal system is tetragonal. Its density of states at the Fermi level is 2.6 states/eV/f.u.

13.
Compound: SrTaHg2
Source: the Alexandria database
Functional: PBEsol
Structure: relaxed

```
SrTaHg2
1.0
5.6628 -1.5245 0.0000
5.6628 1.5245 0.0000
-1.5416 0.0000 5.2311
Sr Ta Hg
1 1 2
Direct
0.0000 0.0000 0.0000 Sr
0.2341 0.2341 0.5806 Ta
0.4922 0.4922 0.5096 Hg
0.7523 0.7523 0.1092 Hg
```

For the energy relative to the elements, the calculation gives 0.310 eV/atom. As for the symmetry: Cm. The crystal system is monoclinic. Its density of states at the Fermi level is 3.5 states/eV/f.u.